# PBE ErScCdPt, optimized geometry
data_ErScCdPt
_chemical_formula_sum 'Er4 Sc4 Cd4 Pt4'
_space_group_name_H-M_alt 'F -4 3 m'
_space_group_IT_number 216
_space_group_name_Hall 'F -4 2 3'
_cell_length_a 6.9834
_cell_length_b 6.9834
_cell_length_c 6.9834
_cell_angle_alpha 90.00
_cell_angle_beta 90.00
_cell_angle_gamma 90.00
loop_
_atom_site_label
_atom_site_type_symbol
_atom_site_fract_x
_atom_site_fract_y
_atom_site_fract_z
_atom_site_occupancy
Er1 Er 0.0000 0.0000 0.0000 1
Sc1 Sc 0.0000 0.0000 0.5000 1
Cd1 Cd 0.2500 0.2500 0.2500 1
Pt1 Pt 0.2500 0.2500 0.7500 1
# - ΔE_f (eV per atom) = -0.7238